Record 1
Computed, not measured: a relaxed structure of CaCoAsSe2 at the PBE-GGA level of DFT.

Values from the calculation:
- Energy above the lowest structure with this stoichiometry: 1334 meV per atom
- Magnetic moment: 2.30 μB per formula unit

```
5
Lattice="5.354 0.000 0.000 0.000 5.354 0.000 0.000 0.000 5.354" Properties=species:S:1:pos:R:3 pbc="T T T"
Ca 0.000 0.000 0.000
Co 2.677 2.677 2.677
As 0.000 0.000 2.677
Se 0.000 2.677 0.000
Se 2.677 0.000 0.000
```

---

Record 2
Computed, not measured: a relaxed structure of CaCoAsSe2 at the PBE-GGA level of DFT.

Values from the calculation:
- Energy above the lowest structure with this stoichiometry: 0 meV per atom
- Magnetic moment: 0.00 μB per formula unit

```
5
Lattice="5.058 0.000 0.000 0.000 5.058 0.000 0.000 0.000 4.289" Properties=species:S:1:pos:R:3 pbc="T T T"
Ca 0.000 0.000 0.000
Co 2.529 2.529 2.144
As 2.529 2.529 0.000
Se 0.000 2.529 2.144
Se 2.529 0.000 2.144
```

---

Record 3
Computed, not measured: a relaxed structure of CaCoAs2Se at the PBE-GGA level of DFT.

Values from the calculation:
- Energy above the lowest structure with this stoichiometry: 0 meV per atom
- Magnetic moment: 0.58 μB per formula unit

```
5
Lattice="4.474 0.000 0.000 0.000 4.474 0.000 0.000 0.000 5.464" Properties=species:S:1:pos:R:3 pbc="T T T"
Ca 0.000 0.000 0.000
Co 2.237 2.237 2.732
As 0.000 2.237 2.732
As 2.237 0.000 2.732
Se 2.237 2.237 0.000
```

---

Record 4
Computed, not measured: a relaxed structure of CaCoSnAs2 at the PBE-GGA level of DFT.

Values from the calculation:
- Calculated formation energy: -6.4 kJ/mol of atoms
- Magnetic moment: 0.00 μB per formula unit

```
5
Lattice="4.590 0.000 0.000 0.000 4.590 0.000 0.000 0.000 5.193" Properties=species:S:1:pos:R:3 pbc="T T T"
Ca 0.000 0.000 0.000
Co 0.000 0.000 2.596
Sn 2.295 2.295 0.000
As 0.000 2.295 2.596
As 2.295 0.000 2.596
```

---

Record 5
Computed, not measured: a relaxed structure of CaCoAsW2 at the PBE-GGA level of DFT.

Values from the calculation:
- Calculated formation energy: 276.9 kJ/mol of atoms
- Magnetic moment: 0.00 μB per formula unit

```
5
Lattice="4.822 0.000 0.000 0.000 4.822 0.000 0.000 0.000 4.137" Properties=species:S:1:pos:R:3 pbc="T T T"
Ca 0.000 0.000 0.000
Co 0.000 0.000 2.069
As 2.411 2.411 2.069
W 0.000 2.411 0.000
W 2.411 0.000 0.000
```

---

Record 6
Computed, not measured: a relaxed structure of CaCrAs2 at the PBE-GGA level of DFT.

Values from the calculation:
- Energy above the lowest structure with this stoichiometry: 0 meV per atom
- Calculated formation energy: -55.5 kJ/mol of atoms
- Magnetic moment: 2.42 μB per formula unit

```
12
Lattice="3.847 0.000 0.000 -1.924 3.332 0.000 0.000 0.000 19.372" Properties=species:S:1:pos:R:3 pbc="T T T"
Ca 0.000 0.000 0.000
Ca 0.000 2.221 12.915
Ca 1.924 1.111 6.457
Cr 0.000 0.000 9.686
Cr 0.000 2.221 3.229
Cr 1.924 1.111 16.144
As 0.000 0.000 4.498
As 0.000 0.000 14.874
As 0.000 2.221 8.417
As 0.000 2.221 17.413
As 1.924 1.111 1.959
As 1.924 1.111 10.955
```

---

Record 7
Computed, not measured: a relaxed structure of CaCr2As at the PBE-GGA level of DFT.

Values from the calculation:
- Calculated formation energy: 21.0 kJ/mol of atoms
- Magnetic moment: 0.00 μB per formula unit

```
8
Lattice="8.972 0.000 0.000 0.000 3.142 0.000 -0.937 0.000 5.122" Properties=species:S:1:pos:R:3 pbc="T T T"
Ca 0.000 0.000 0.000
Ca 4.486 1.571 0.000
Cr 1.496 0.000 3.253
Cr 2.053 1.571 1.869
Cr 5.982 1.571 3.253
Cr 6.539 0.000 1.869
As -0.469 1.571 2.561
As 4.017 0.000 2.561
```

---

Record 8
Computed, not measured: a relaxed structure of CaCrAs2 at the PBE-GGA level of DFT.

Values from the calculation:
- Energy above the lowest structure with this stoichiometry: 372 meV per atom
- Calculated formation energy: -19.6 kJ/mol of atoms
- Magnetic moment: 3.97 μB per formula unit

```
4
Lattice="4.823 0.000 0.000 0.000 4.823 0.000 0.000 0.000 3.487" Properties=species:S:1:pos:R:3 pbc="T T T"
Ca 0.000 0.000 0.000
Cr 2.411 2.411 0.000
As 0.000 2.411 1.743
As 2.411 0.000 1.743
```

---

Record 9
Computed, not measured: a relaxed structure of CaCrAs2 at the PBE-GGA level of DFT.

Values from the calculation:
- Energy above the lowest structure with this stoichiometry: 324 meV per atom
- Calculated formation energy: -24.2 kJ/mol of atoms
- Magnetic moment: 2.89 μB per formula unit

```
16
Lattice="6.816 0.000 0.000 0.000 6.816 0.000 0.000 0.000 6.816" Properties=species:S:1:pos:R:3 pbc="T T T"
Ca 0.000 0.000 0.000
Ca 0.000 3.408 3.408
Ca 3.408 0.000 3.408
Ca 3.408 3.408 0.000
Cr 0.000 0.000 3.408
Cr 0.000 3.408 0.000
Cr 3.408 0.000 0.000
Cr 3.408 3.408 3.408
As 1.704 1.704 1.704
As 1.704 1.704 5.112
As 1.704 5.112 1.704
As 1.704 5.112 5.112
As 5.112 1.704 1.704
As 5.112 1.704 5.112
As 5.112 5.112 1.704
As 5.112 5.112 5.112
```

---

Record 10
Computed, not measured: a relaxed structure of CaCrAs2 at the PBE-GGA level of DFT.

Values from the calculation:
- Energy above the lowest structure with this stoichiometry: 334 meV per atom
- Calculated formation energy: -23.3 kJ/mol of atoms
- Magnetic moment: 2.76 μB per formula unit

```
4
Lattice="3.340 0.000 0.000 0.000 3.891 0.000 0.000 0.000 7.125" Properties=species:S:1:pos:R:3 pbc="T T T"
Ca 0.000 0.000 0.000
Cr 1.670 1.945 3.347
As 0.000 0.000 2.974
As 1.670 1.945 5.790
```

---

Record 11
Computed, not measured: a relaxed structure of CaCrAs2 at the PBE-GGA level of DFT.

Values from the calculation:
- Energy above the lowest structure with this stoichiometry: 338 meV per atom
- Calculated formation energy: -22.8 kJ/mol of atoms
- Magnetic moment: 3.76 μB per formula unit

```
8
Lattice="6.018 0.000 0.000 0.000 7.207 0.000 0.000 0.000 3.709" Properties=species:S:1:pos:R:3 pbc="T T T"
Ca 0.000 0.000 0.000
Ca 3.009 3.604 0.000
Cr 0.000 3.604 0.000
Cr 3.009 0.000 0.000
As 1.504 1.802 1.854
As 1.504 5.405 1.854
As 4.513 1.802 1.854
As 4.513 5.405 1.854
```

---

Record 12
Computed, not measured: a relaxed structure of CaCrAs4 at the PBE-GGA level of DFT.

Values from the calculation:
- Calculated formation energy: 10.8 kJ/mol of atoms
- Magnetic moment: 4.56 μB per formula unit

```
6
Lattice="0.000 4.000 4.000 4.000 0.000 4.000 4.000 4.000 0.000" Properties=species:S:1:pos:R:3 pbc="T T T"
Ca 0.000 0.000 0.000
Cr 5.999 5.999 5.999
As 3.009 3.009 3.009
As 4.990 4.990 3.009
As 4.990 3.009 4.990
As 3.009 4.990 4.990
```

---

Record 13
Computed, not measured: a relaxed structure of CaCr2As at the PBE-GGA level of DFT.

Values from the calculation:
- Calculated formation energy: 30.1 kJ/mol of atoms
- Magnetic moment: 7.75 μB per formula unit

```
8
Lattice="3.509 0.000 0.000 0.000 4.919 0.000 0.000 0.000 9.480" Properties=species:S:1:pos:R:3 pbc="T T T"
Ca 0.000 0.000 0.000
Ca 1.755 2.460 4.740
Cr 0.000 2.460 1.921
Cr 0.000 2.460 7.559
Cr 1.755 0.000 2.819
Cr 1.755 0.000 6.661
As 0.000 0.000 4.740
As 1.755 2.460 0.000
```

---

Record 14
Computed, not measured: a relaxed structure of CaCrAs3 at the PBE-GGA level of DFT.

Values from the calculation:
- Energy above the lowest structure with this stoichiometry: 0 meV per atom
- Calculated formation energy: -15.7 kJ/mol of atoms
- Magnetic moment: 1.38 μB per formula unit

```
5
Lattice="4.781 0.000 0.000 0.000 4.781 0.000 0.000 0.000 4.781" Properties=species:S:1:pos:R:3 pbc="T T T"
Ca 0.000 0.000 0.000
Cr 2.391 2.391 2.391
As 0.000 2.391 2.391
As 2.391 0.000 2.391
As 2.391 2.391 0.000
```

---

Record 15
Computed, not measured: a relaxed structure of CaCr2As at the PBE-GGA level of DFT.

Values from the calculation:
- Calculated formation energy: 32.2 kJ/mol of atoms
- Magnetic moment: 2.98 μB per formula unit

```
16
Lattice="4.363 0.000 0.000 0.000 4.363 0.000 0.000 0.000 17.717" Properties=species:S:1:pos:R:3 pbc="T T T"
Ca 0.000 1.091 6.644
Ca 0.000 3.272 11.073
Ca 2.181 1.091 2.215
Ca 2.181 3.272 15.503
Cr 0.000 0.000 0.000
Cr 0.000 2.181 0.000
Cr 1.091 1.091 13.288
Cr 1.091 3.272 4.429
Cr 2.181 0.000 8.859
Cr 2.181 2.181 8.859
Cr 3.272 1.091 13.288
Cr 3.272 3.272 4.429
As 0.000 1.091 15.503
As 0.000 3.272 2.215
As 2.181 1.091 11.073
As 2.181 3.272 6.644
```

---

Record 16
Computed, not measured: a relaxed structure of CaCrAs2 at the PBE-GGA level of DFT.

Values from the calculation:
- Energy above the lowest structure with this stoichiometry: 362 meV per atom
- Calculated formation energy: -20.5 kJ/mol of atoms
- Magnetic moment: 3.53 μB per formula unit

```
8
Lattice="4.003 0.000 0.000 0.000 4.003 0.000 0.000 0.000 9.955" Properties=species:S:1:pos:R:3 pbc="T T T"
Ca 0.000 0.000 0.000
Ca 2.001 2.001 4.978
Cr 0.000 2.001 7.467
Cr 2.001 0.000 2.489
As 0.000 0.000 4.978
As 0.000 2.001 2.489
As 2.001 0.000 7.467
As 2.001 2.001 0.000
```

---

Record 17
Computed, not measured: a relaxed structure of CaCr2As at the PBE-GGA level of DFT.

Values from the calculation:
- Calculated formation energy: 38.5 kJ/mol of atoms
- Magnetic moment: 8.26 μB per formula unit

```
8
Lattice="4.220 0.000 0.000 0.000 4.220 0.000 0.000 0.000 8.908" Properties=species:S:1:pos:R:3 pbc="T T T"
Ca 0.000 0.000 0.000
Ca 2.110 2.110 4.454
Cr 0.000 2.110 2.227
Cr 0.000 2.110 6.681
Cr 2.110 0.000 2.227
Cr 2.110 0.000 6.681
As 0.000 0.000 4.454
As 2.110 2.110 0.000
```

---

Record 18
Computed, not measured: a relaxed structure of CaCrAs at the PBE-GGA level of DFT.

Values from the calculation:
- Calculated formation energy: -44.6 kJ/mol of atoms
- Magnetic moment: 1.70 μB per formula unit

```
6
Lattice="3.953 0.000 0.000 0.000 3.953 0.000 0.000 0.000 7.751" Properties=species:S:1:pos:R:3 pbc="T T T"
Ca 0.988 0.988 1.315
Ca 2.965 2.965 6.436
Cr 0.988 2.965 3.875
Cr 2.965 0.988 3.875
As 0.988 0.988 5.402
As 2.965 2.965 2.349
```

---

Record 19
Computed, not measured: a relaxed structure of CaCrAs3 at the PBE-GGA level of DFT.

Values from the calculation:
- Energy above the lowest structure with this stoichiometry: 1170 meV per atom
- Calculated formation energy: 97.1 kJ/mol of atoms
- Magnetic moment: 4.47 μB per formula unit

```
5
Lattice="5.287 0.000 0.000 0.000 5.287 0.000 0.000 0.000 5.287" Properties=species:S:1:pos:R:3 pbc="T T T"
Ca 0.000 0.000 0.000
Cr 2.643 2.643 2.643
As 0.000 0.000 2.643
As 0.000 2.643 0.000
As 2.643 0.000 0.000
```

---

Record 20
Computed, not measured: a relaxed structure of CaCrAs at the PBE-GGA level of DFT.

Values from the calculation:
- Calculated formation energy: -33.8 kJ/mol of atoms
- Magnetic moment: 4.23 μB per formula unit

```
3
Lattice="4.321 0.000 0.000 -2.161 3.742 0.000 0.000 0.000 4.230" Properties=species:S:1:pos:R:3 pbc="T T T"
Ca 0.000 0.000 0.000
Cr 2.161 1.247 2.115
As 0.000 2.495 2.115
```